(1)
## Tl5CdPb (PBE)

Data for a relaxed Tl5CdPb crystal.

```
data_Tl5CdPb
_chemical_formula_sum 'Tl20 Cd4 Pb4'
_symmetry_space_group_name_H-M 'C 1 2/c 1'
_symmetry_Int_Tables_number 15
_cell_length_a 11.773
_cell_length_b 6.690
_cell_length_c 11.384
_cell_angle_alpha 90.00
_cell_angle_beta 102.49
_cell_angle_gamma 90.00
loop_
_symmetry_equiv_pos_as_xyz
'x,y,z'
'-x,-y,-z'
'-x,y,-z+1/2'
'x,-y,z+1/2'
'x+1/2,y+1/2,z'
'-x+1/2,-y+1/2,-z'
'-x+1/2,y+1/2,-z+1/2'
'x+1/2,-y+1/2,z+1/2'
loop_
_atom_site_label
_atom_site_type_symbol
_atom_site_fract_x
_atom_site_fract_y
_atom_site_fract_z
_atom_site_occupancy
Tl1 Tl 0.000 0.178 0.250 1
Tl2 Tl 0.147 0.420 0.039 1
Tl3 Tl 0.234 0.120 0.669 1
Cd1 Cd 0.000 0.000 0.000 1
Pb1 Pb 0.000 0.330 0.750 1
```

(2)
## TlCd4Pb15 (PBE)

Data for a relaxed TlCd4Pb15 crystal.

```
data_TlCd4Pb15
_chemical_formula_sum 'Tl1 Cd4 Pb15'
_symmetry_space_group_name_H-M 'P 4/m m m'
_symmetry_Int_Tables_number 123
_symmetry_space_group_name_Hall '-P 4 2'
_cell_length_a 4.889
_cell_length_b 4.889
_cell_length_c 25.186
_cell_angle_alpha 90.00
_cell_angle_beta 90.00
_cell_angle_gamma 90.00
loop_
_atom_site_label
_atom_site_type_symbol
_atom_site_fract_x
_atom_site_fract_y
_atom_site_fract_z
_atom_site_occupancy
Tl1 Tl 0.000 0.000 0.000 1
Cd1 Cd 0.000 0.000 0.202 1
Cd2 Cd 0.000 0.000 0.401 1
Pb1 Pb 0.000 0.500 0.104 1
Pb2 Pb 0.000 0.500 0.302 1
Pb3 Pb 0.000 0.500 0.500 1
Pb4 Pb 0.500 0.500 0.000 1
Pb5 Pb 0.500 0.500 0.202 1
Pb6 Pb 0.500 0.500 0.400 1
```

(3)
## TlCd2Pb3 (PBE)

Data for a relaxed TlCd2Pb3 crystal.

```
data_TlCd2Pb3
_chemical_formula_sum 'Tl6 Cd12 Pb18'
_symmetry_space_group_name_H-M 'R -3 m'
_symmetry_Int_Tables_number 166
_symmetry_space_group_name_Hall '-R 3 2"'
_cell_length_a 6.9008
_cell_length_b 6.9008
_cell_length_c 25.2658
_cell_angle_alpha 90.00
_cell_angle_beta 90.00
_cell_angle_gamma 120.00
loop_
_atom_site_label
_atom_site_type_symbol
_atom_site_fract_x
_atom_site_fract_y
_atom_site_fract_z
_atom_site_occupancy
Tl1 Tl 0.0000 0.0000 0.2229 1
Cd1 Cd 0.0000 0.0000 0.0000 1
Cd2 Cd 0.0000 0.5000 0.0000 1
Pb1 Pb 0.0019 0.5009 0.2285 1
```

(4)
## Tl2Cd2Pb (PBE)

Data for a relaxed Tl2Cd2Pb crystal.

```
data_Tl2Cd2Pb
_chemical_formula_sum 'Tl8 Cd8 Pb4'
_symmetry_space_group_name_H-M 'C 1 2/c 1'
_symmetry_Int_Tables_number 15
_cell_length_a 10.374
_cell_length_b 6.404
_cell_length_c 10.166
_cell_angle_alpha 90.00
_cell_angle_beta 117.83
_cell_angle_gamma 90.00
loop_
_symmetry_equiv_pos_as_xyz
'x,y,z'
'-x,-y,-z'
'-x,y,-z+1/2'
'x,-y,z+1/2'
'x+1/2,y+1/2,z'
'-x+1/2,-y+1/2,-z'
'-x+1/2,y+1/2,-z+1/2'
'x+1/2,-y+1/2,z+1/2'
loop_
_atom_site_label
_atom_site_type_symbol
_atom_site_fract_x
_atom_site_fract_y
_atom_site_fract_z
_atom_site_occupancy
Tl1 Tl 0.197 0.001 0.348 1
Cd1 Cd 0.002 0.223 0.000 1
Pb1 Pb 0.000 0.499 0.250 1
```

(5)
## Tl2CdPb8 (PBE)

Data for a relaxed Tl2CdPb8 crystal.

```
data_Tl2CdPb8
_chemical_formula_sum 'Tl4 Cd2 Pb16'
_symmetry_space_group_name_H-M 'C 1 2/m 1'
_symmetry_Int_Tables_number 12
_cell_length_a 14.551
_cell_length_b 8.440
_cell_length_c 6.102
_cell_angle_alpha 90.00
_cell_angle_beta 102.92
_cell_angle_gamma 90.00
loop_
_symmetry_equiv_pos_as_xyz
'x,y,z'
'-x,-y,-z'
'-x,y,-z'
'x,-y,z'
'x+1/2,y+1/2,z'
'-x+1/2,-y+1/2,-z'
'-x+1/2,y+1/2,-z'
'x+1/2,-y+1/2,z'
loop_
_atom_site_label
_atom_site_type_symbol
_atom_site_fract_x
_atom_site_fract_y
_atom_site_fract_z
_atom_site_occupancy
Tl1 Tl 0.124 0.000 0.479 1
Cd1 Cd 0.000 0.000 0.000 1
Pb1 Pb 0.066 0.300 0.787 1
Pb2 Pb 0.137 0.500 0.351 1
Pb3 Pb 0.234 0.000 0.040 1
```

(6)
## Tl4Cd2Pb5 (PBE)

Data for a relaxed Tl4Cd2Pb5 crystal.

```
data_Tl4Cd2Pb5
_chemical_formula_sum 'Tl4 Cd2 Pb5'
_symmetry_space_group_name_H-M 'P 1 2/m 1'
_symmetry_Int_Tables_number 10
_cell_length_a 8.713
_cell_length_b 3.345
_cell_length_c 11.447
_cell_angle_alpha 90.00
_cell_angle_beta 92.79
_cell_angle_gamma 90.00
loop_
_symmetry_equiv_pos_as_xyz
'x,y,z'
'-x,-y,-z'
'-x,y,-z'
'x,-y,z'
loop_
_atom_site_label
_atom_site_type_symbol
_atom_site_fract_x
_atom_site_fract_y
_atom_site_fract_z
_atom_site_occupancy
Tl1 Tl 0.152 0.000 0.397 1
Tl2 Tl 0.294 0.000 0.948 1
Cd1 Cd 0.054 0.500 0.129 1
Pb1 Pb 0.203 0.500 0.679 1
Pb2 Pb 0.414 0.500 0.212 1
Pb3 Pb 0.500 0.500 0.500 1
```

(7)
## TlCd8Pb3 (PBE)

Data for a relaxed TlCd8Pb3 crystal.

```
data_TlCd8Pb3
_chemical_formula_sum 'Tl1 Cd8 Pb3'
_symmetry_space_group_name_H-M 'P 3 m 1'
_symmetry_Int_Tables_number 156
_cell_length_a 5.9719
_cell_length_b 5.9719
_cell_length_c 10.0603
_cell_angle_alpha 90.00
_cell_angle_beta 90.00
_cell_angle_gamma 120.00
loop_
_symmetry_equiv_pos_as_xyz
'x,y,z'
'-y,x-y,z'
'-x+y,-x,z'
'-y,-x,z'
'-x+y,y,z'
'x,x-y,z'
loop_
_atom_site_label
_atom_site_type_symbol
_atom_site_fract_x
_atom_site_fract_y
_atom_site_fract_z
_atom_site_occupancy
Tl1 Tl 0.0000 0.0000 0.0000 1
Cd1 Cd 0.1636 0.3272 0.6892 1
Cd2 Cd 0.3333 0.6667 0.4401 1
Cd3 Cd 0.3333 0.6667 0.9395 1
Cd4 Cd 0.5030 0.0061 0.1904 1
Pb1 Pb 0.0000 0.0000 0.3714 1
Pb2 Pb 0.6667 0.3333 0.5093 1
Pb3 Pb 0.6667 0.3333 0.8721 1
```

(8)
## Tl15Cd2Pb2 (PBE)

Data for a relaxed Tl15Cd2Pb2 crystal.

```
data_Tl15Cd2Pb2
_chemical_formula_sum 'Tl45 Cd6 Pb6'
_symmetry_space_group_name_H-M 'R -3 m'
_symmetry_Int_Tables_number 166
_symmetry_space_group_name_Hall '-R 3 2"'
_cell_length_a 11.0907
_cell_length_b 11.0907
_cell_length_c 17.4875
_cell_angle_alpha 90.00
_cell_angle_beta 90.00
_cell_angle_gamma 120.00
loop_
_atom_site_label
_atom_site_type_symbol
_atom_site_fract_x
_atom_site_fract_y
_atom_site_fract_z
_atom_site_occupancy
Tl1 Tl 0.0000 0.3026 0.0000 1
Tl2 Tl 0.0000 0.5000 0.5000 1
Tl3 Tl 0.0140 0.5070 0.1395 1
Cd1 Cd 0.0000 0.0000 0.0890 1
Pb1 Pb 0.0000 0.0000 0.2737 1
```

(9)
## TlCd3Pb6 (PBE)

Data for a relaxed TlCd3Pb6 crystal.

```
data_TlCd3Pb6
_chemical_formula_sum 'Tl2 Cd6 Pb12'
_symmetry_space_group_name_H-M 'P -1'
_symmetry_Int_Tables_number 2
_cell_length_a 3.480
_cell_length_b 12.892
_cell_length_c 13.495
_cell_angle_alpha 77.69
_cell_angle_beta 89.92
_cell_angle_gamma 89.88
loop_
_symmetry_equiv_pos_as_xyz
'x,y,z'
'-x,-y,-z'
loop_
_atom_site_label
_atom_site_type_symbol
_atom_site_fract_x
_atom_site_fract_y
_atom_site_fract_z
_atom_site_occupancy
Tl1 Tl 0.249 0.276 0.048 1
Cd1 Cd 0.250 0.908 0.055 1
Cd2 Cd 0.251 0.095 0.432 1
Cd3 Cd 0.252 0.487 0.657 1
Pb1 Pb 0.249 0.338 0.499 1
Pb2 Pb 0.250 0.265 0.793 1
Pb3 Pb 0.250 0.712 0.722 1
Pb4 Pb 0.250 0.871 0.360 1
Pb5 Pb 0.251 0.513 0.124 1
Pb6 Pb 0.251 0.940 0.809 1
```

(10)
## Tl2CdPb (PBE)

Data for a relaxed Tl2CdPb crystal.

```
data_Tl2CdPb
_chemical_formula_sum 'Tl4 Cd2 Pb2'
_symmetry_space_group_name_H-M 'I m m 2'
_symmetry_Int_Tables_number 44
_cell_length_a 3.641
_cell_length_b 5.719
_cell_length_c 11.291
_cell_angle_alpha 90.00
_cell_angle_beta 90.00
_cell_angle_gamma 90.00
loop_
_symmetry_equiv_pos_as_xyz
'x,y,z'
'-x,-y,z'
'-x,y,z'
'x,-y,z'
'x+1/2,y+1/2,z+1/2'
'-x+1/2,-y+1/2,z+1/2'
'-x+1/2,y+1/2,z+1/2'
'x+1/2,-y+1/2,z+1/2'
loop_
_atom_site_label
_atom_site_type_symbol
_atom_site_fract_x
_atom_site_fract_y
_atom_site_fract_z
_atom_site_occupancy
Tl1 Tl 0.000 0.000 0.000 1
Tl2 Tl 0.000 0.500 0.238 1
Cd1 Cd 0.000 0.500 0.736 1
Pb1 Pb 0.000 0.000 0.473 1
```

(11)
## TlCd2Pb (PBE)

Data for a relaxed TlCd2Pb crystal.

```
data_TlCd2Pb
_chemical_formula_sum 'Tl1 Cd2 Pb1'
_symmetry_space_group_name_H-M 'P 1 m 1'
_symmetry_Int_Tables_number 6
_cell_length_a 3.511
_cell_length_b 5.304
_cell_length_c 6.131
_cell_angle_alpha 90.00
_cell_angle_beta 103.67
_cell_angle_gamma 90.00
loop_
_symmetry_equiv_pos_as_xyz
'x,y,z'
'x,-y,z'
loop_
_atom_site_label
_atom_site_type_symbol
_atom_site_fract_x
_atom_site_fract_y
_atom_site_fract_z
_atom_site_occupancy
Tl1 Tl 0.000 0.000 0.000 1
Cd1 Cd 0.595 0.500 0.190 1
Cd2 Cd 0.719 0.000 0.477 1
Pb1 Pb 0.308 0.500 0.661 1
```

(12)
## Tl2CdPb6 (PBE)

Data for a relaxed Tl2CdPb6 crystal.

```
data_Tl2CdPb6
_chemical_formula_sum 'Tl4 Cd2 Pb12'
_symmetry_space_group_name_H-M 'C 1 2/m 1'
_symmetry_Int_Tables_number 12
_cell_length_a 12.305
_cell_length_b 7.095
_cell_length_c 6.708
_cell_angle_alpha 90.00
_cell_angle_beta 90.09
_cell_angle_gamma 90.00
loop_
_symmetry_equiv_pos_as_xyz
'x,y,z'
'-x,-y,-z'
'-x,y,-z'
'x,-y,z'
'x+1/2,y+1/2,z'
'-x+1/2,-y+1/2,-z'
'-x+1/2,y+1/2,-z'
'x+1/2,-y+1/2,z'
loop_
_atom_site_label
_atom_site_type_symbol
_atom_site_fract_x
_atom_site_fract_y
_atom_site_fract_z
_atom_site_occupancy
Tl1 Tl 0.167 0.000 0.337 1
Cd1 Cd 0.000 0.500 0.500 1
Pb1 Pb 0.088 0.236 0.820 1
Pb2 Pb 0.176 0.500 0.181 1
```

Number 1: total energy -0.084 hartree per atom, energy of formation from the pure elements 69 meV per atom. Number 2: total energy -0.112 hartree per atom, energy of formation from the pure elements 23 meV per atom. Number 3: total energy -0.092 hartree per atom, energy of formation from the pure elements 50 meV per atom. Number 4: total energy -0.073 hartree per atom, energy of formation from the pure elements 74 meV per atom. Number 5: total energy -0.114 hartree per atom, energy of formation from the pure elements 102 meV per atom. Number 6: total energy -0.098 hartree per atom, energy of formation from the pure elements 32 meV per atom. Number 7: total energy -0.063 hartree per atom, energy of formation from the pure elements 19 meV per atom. Number 8: total energy -0.083 hartree per atom, energy of formation from the pure elements 102 meV per atom. Number 9: total energy -0.099 hartree per atom, energy of formation from the pure elements 46 meV per atom. Number 10: total energy -0.084 hartree per atom, energy of formation from the pure elements 43 meV per atom. Number 11: total energy -0.071 hartree per atom, energy of formation from the pure elements 46 meV per atom. Number 12: total energy -0.111 hartree per atom, energy of formation from the pure elements 67 meV per atom.